(1)
A plane-wave DFT calculation with GGA-PBE was carried out for a relaxed structure of Th2Zn12Cu3Ag.

a b c (Å): 10.797 10.797 10.797
angles (deg): 33.05 33.05 33.05
Fractional positions:
Th 0.140 0.140 0.140
Th 0.860 0.860 0.860
Zn 0.086 0.613 0.613
Zn 0.090 0.090 0.680
Zn 0.090 0.680 0.090
Zn 0.320 0.910 0.910
Zn 0.387 0.387 0.914
Zn 0.387 0.914 0.387
Zn 0.613 0.086 0.613
Zn 0.613 0.613 0.086
Zn 0.680 0.090 0.090
Zn 0.910 0.320 0.910
Zn 0.910 0.910 0.320
Zn 0.914 0.387 0.387
Cu 0.000 0.500 0.500
Cu 0.500 0.000 0.500
Cu 0.500 0.500 0.000
Ag 0.500 0.500 0.500

Results
* energy: -2.4765 eV/atom
* size of the total moment: 0.000 μB per atom

(2)
A plane-wave DFT calculation with GGA-PBE was carried out for a relaxed structure of GeSbO2F.

a b c (Å): 3.925 3.925 4.154
angles (deg): 90.00 90.00 90.00
Fractional positions:
Ge 0.000 0.000 0.000
Sb 0.500 0.500 0.500
O 0.000 0.500 0.000
O 0.500 0.000 0.000
F 0.000 0.000 0.500

Results
* energy relative to the elements, uncorrected: -4.17 eV/f.u.
* energy: -4.9386 eV/atom
* size of the total moment: 0.000 μB per atom

(3)
A plane-wave DFT calculation with GGA-PBE was carried out for a relaxed structure of Pm8In6Ga.

a b c (Å): 8.251 8.251 8.251
angles (deg): 69.08 69.08 69.08
Fractional positions:
Pm 0.143 0.643 0.396
Pm 0.215 0.215 0.215
Pm 0.357 0.604 0.857
Pm 0.396 0.143 0.643
Pm 0.604 0.857 0.357
Pm 0.643 0.396 0.143
Pm 0.785 0.785 0.785
Pm 0.857 0.357 0.604
In 0.076 0.405 0.844
In 0.156 0.924 0.595
In 0.405 0.844 0.076
In 0.595 0.156 0.924
In 0.844 0.076 0.405
In 0.924 0.595 0.156
Ga 0.500 0.500 0.500

Results
* energy: -4.1106 eV/atom
* size of the total moment: 0.000 μB per atom

(4)
A plane-wave DFT calculation with GGA-PBE was carried out for a relaxed structure of NdY4Tm.

a b c (Å): 5.667 5.667 6.943
angles (deg): 90.04 90.04 119.97
Fractional positions:
Nd 0.000 0.000 0.000
Y 0.333 0.666 0.745
Y 0.334 0.667 0.255
Y 0.666 0.333 0.745
Y 0.667 0.334 0.255
Tm 0.000 0.000 0.500

Results
* energy: -5.7813 eV/atom
* size of the total moment: 0.000 μB per atom
* energy above the lowest structure with this stoichiometry: 0.000 eV/atom

(5)
A plane-wave DFT calculation with GGA-PBE was carried out for a relaxed structure of NaLiP2O6.

a b c (Å): 7.120 7.120 4.981
angles (deg): 102.22 102.22 90.16
Fractional positions:
Na 0.109 0.891 0.750
Na 0.891 0.109 0.250
Li 0.230 0.770 0.250
Li 0.770 0.230 0.750
P 0.209 0.382 0.793
P 0.382 0.209 0.293
P 0.618 0.791 0.707
P 0.791 0.618 0.207
O 0.046 0.231 0.701
O 0.172 0.589 0.888
O 0.231 0.046 0.201
O 0.322 0.372 0.539
O 0.372 0.322 0.039
O 0.411 0.828 0.612
O 0.589 0.172 0.388
O 0.628 0.678 0.961
O 0.678 0.628 0.461
O 0.769 0.954 0.799
O 0.828 0.411 0.112
O 0.954 0.769 0.299

Results
* energy relative to the elements, uncorrected: -22.27 eV/f.u.
* energy: -6.6076 eV/atom
* size of the total moment: 0.000 μB per atom

(6)
A plane-wave DFT calculation with GGA-PBE was carried out for a relaxed structure of LiIr2Br.

a b c (Å): 2.908 4.920 4.497
angles (deg): 90.00 90.93 90.00
Fractional positions:
Li 0.000 0.000 0.000
Ir 0.254 0.500 0.242
Ir 0.746 0.500 0.758
Br 0.500 0.000 0.500

Results
* energy relative to the elements, uncorrected: 1.41 eV/f.u.
* energy: -4.9740 eV/atom
* size of the total moment: 0.000 μB per atom
* energy above the lowest structure with this stoichiometry: 0.253 eV/atom

(7)
A plane-wave DFT calculation with GGA-PBE was carried out for a relaxed structure of AlCrRhBr2.

a b c (Å): 5.094 5.094 4.692
angles (deg): 90.00 90.00 90.00
Fractional positions:
Al 0.000 0.000 0.000
Cr 0.500 0.500 0.500
Rh 0.000 0.000 0.500
Br 0.000 0.500 0.000
Br 0.500 0.000 0.000

Results
* energy relative to the elements, uncorrected: 3.01 eV/f.u.
* energy: -4.2110 eV/atom
* size of the total moment: 0.889 μB per atom

(8)
A plane-wave DFT calculation with GGA-PBE was carried out for a relaxed structure of NdSc2Ag2Sn2.

a b c (Å): 8.917 8.917 8.917
angles (deg): 30.87 30.87 30.87
Fractional positions:
Nd 0.000 0.000 0.000
Sc 0.137 0.137 0.137
Sc 0.863 0.863 0.863
Ag 0.442 0.442 0.442
Ag 0.558 0.558 0.558
Sn 0.260 0.260 0.260
Sn 0.740 0.740 0.740

Results
* energy: -4.9205 eV/atom
* size of the total moment: 0.000 μB per atom

(9)
A plane-wave DFT calculation with GGA-PBE was carried out for a relaxed structure of Ba2CaTc2N4.

a b c (Å): 7.249 7.249 6.574
angles (deg): 107.86 107.86 27.80
Fractional positions:
Ba 0.128 0.128 0.026
Ba 0.872 0.872 0.974
Ca 0.000 0.000 0.500
Tc 0.316 0.316 0.506
Tc 0.684 0.684 0.494
N 0.223 0.223 0.697
N 0.446 0.446 0.712
N 0.554 0.554 0.288
N 0.777 0.777 0.303

Results
* energy relative to the elements, uncorrected: -3.65 eV/f.u.
* energy: -7.0585 eV/atom
* size of the total moment: 0.000 μB per atom

(10)
A plane-wave DFT calculation with GGA-PBE was carried out for a relaxed structure of CsYScRe2.

a b c (Å): 4.969 4.969 5.647
angles (deg): 90.00 90.00 90.00
Fractional positions:
Cs 0.000 0.000 0.000
Y 0.500 0.500 0.000
Sc 0.500 0.500 0.500
Re 0.000 0.500 0.500
Re 0.500 0.000 0.500

Results
* energy: -5.8029 eV/atom
* size of the total moment: 0.473 μB per atom

(11)
A plane-wave DFT calculation with GGA-PBE was carried out for a relaxed structure of RbSc2Fe2.

a b c (Å): 11.601 11.601 11.601
angles (deg): 162.93 162.93 24.23
Fractional positions:
Rb 0.000 0.000 0.000
Sc 0.340 0.340 0.000
Sc 0.660 0.660 0.000
Fe 0.250 0.750 0.500
Fe 0.750 0.250 0.500

Results
* energy: -5.6940 eV/atom
* size of the total moment: 0.832 μB per atom
* energy above the lowest structure with this stoichiometry: 0.000 eV/atom

(12)
A plane-wave DFT calculation with GGA-PBE was carried out for a relaxed structure of LuMgNi.

a b c (Å): 4.495 4.495 4.495
angles (deg): 60.00 60.00 60.00
Fractional positions:
Lu 0.000 0.000 0.000
Mg 0.500 0.500 0.500
Ni 0.750 0.750 0.750

Results
* energy: -4.1362 eV/atom
* size of the total moment: 0.000 μB per atom

> size of the total moment of number 11 (RbSc2Fe2)?

0.832 μB per atom